A relaxed BaBeFe2F crystal, computed with PBE with a Hubbard U.

Unit cell a=4.2335 b=6.7834 c=4.2335 alpha=90.00 beta=90.00 gamma=90.00
Each line ends with the local moment (μB).
Element x y z (fractional)
Be (0.0000, 0.0000, 0.0000)  -0.18
F (0.5000, 0.5000, 0.5000)  0.00
Ba (0.0000, 0.5000, 0.0000)  -0.03
Fe (0.0000, 0.0000, 0.5000)  3.59
Fe (0.5000, 0.0000, 0.0000)  3.37

Output
**VASP energy**: -0.143 Ha/atom
**Calculated volume**: 121.6 Å³/cell